## Ca3Ni8Ag (PBE-GGA)

Data for an optimized crystal structure of Ca3Ni8Ag.

The value obtained for the density is 6489 kg/m³.

The structure belongs to space group R3m (No. 160, hexagonal axes); the cell edges are 5.0178, 5.0178 and 24.5641 Å and the angles 90.00°, 90.00° and 120.00°. The inequivalent atoms are Ca at (0.0000, 0.0000, 0.0000), Ca at (0.0000, 0.0000, 0.1279), Ca at (0.0000, 0.0000, 0.5084), Ni at (0.0000, 0.0000, 0.3161), Ni at (0.0000, 0.0000, 0.8162), Ni at (0.0004, 0.5002, 0.5672), Ni at (0.1674, 0.3349, 0.3982) and Ag at (0.0000, 0.0000, 0.6303).

## CdRe2Au (PBE-GGA)

Data for an optimized crystal structure of CdRe2Au.

The value obtained for the density is 17126 kg/m³.

The structure belongs to space group I-4m2 (No. 119); the cell edges are 4.122, 4.122 and 7.780 Å and the angles 90.00°, 90.00° and 90.00°. The inequivalent atoms are Cd at (0.000, 0.000, 0.000), Re at (0.000, 0.000, 0.500), Re at (0.000, 0.500, 0.750) and Au at (0.000, 0.500, 0.250).

Number 1: formation energy -0.132 eV/atom, VASP energy -0.1736 Ha/atom, size of the total moment 0.012 μB per formula unit. Number 2: formation energy 0.635 eV/atom, VASP energy -0.2439 Ha/atom, size of the total moment 0.000 μB per formula unit.